Compound: Pm3InP
Source: the Alexandria database
Functional: PBE-GGA
Structure: optimized geometry

Cell: 5.4239 5.4239 5.4239 Å, 90.00 90.00 90.00°
Closest atoms and distances in Å follow each position.
Element x y z (fractional)
Pm 0.0000 0.5000 0.0000  2 P 2.71
Pm 0.0000 0.0000 0.5000  2 P 2.71
Pm 0.5000 0.0000 0.0000  2 P 2.71
P 0.0000 0.0000 0.0000  6 Pm 2.71
In 0.5000 0.5000 0.5000  12 Pm 3.84

Summary:
DOS at the Fermi energy, states/eV per atom: 0.501
Energy relative to the lowest polymorph listed for this composition, eV/atom: 0.070
Crystal system: cubic
Total magnetic moment, μB/f.u.: 0.000
Symmetry: No. 221
E_form, eV/atom: -0.688

---

Compound: MgTiH3
Source: the Alexandria database
Functional: PBE-GGA
Structure: optimized geometry

Cell: 3.6236 3.6236 3.6236 Å, 90.00 90.00 90.00°
Closest atoms and distances in Å follow each position.
Element x y z (fractional)
H 0.5000 0.0000 0.0000  2 Mg 1.81
H 0.0000 0.0000 0.5000  2 Mg 1.81
H 0.0000 0.5000 0.0000  2 Mg 1.81
Mg 0.0000 0.0000 0.0000  6 H 1.81
Ti 0.5000 0.5000 0.5000  12 H 2.56

Summary:
DOS at the Fermi energy, states/eV per atom: 0.324
Energy relative to the lowest polymorph listed for this composition, eV/atom: 0.415
Crystal system: cubic
Total magnetic moment, μB/f.u.: 2.655
Symmetry: No. 221

---

Compound: Cs7RbCd2
Source: the Alexandria database
Functional: PBE-GGA
Structure: optimized geometry

Cell: 6.9626 6.9626 18.3030 Å, 100.96 100.96 90.00°
Closest atoms and distances in Å follow each position.
Element x y z (fractional)
Rb 0.0000 0.0000 0.0000  12 Cs 4.92-5.39
Cs 0.5000 0.5000 0.0000  4 Rb 4.92, 8 Cs 5.39
Cs 0.2500 0.7500 0.5000  4 Cd 4.24, 2 Cs 4.70
Cs 0.6168 0.1168 0.2336  2 Cd 4.16
Cs 0.3832 0.8832 0.7664  2 Cd 4.16
Cs 0.7500 0.2500 0.5000  4 Cd 4.24, 2 Cs 4.70
Cs 0.8832 0.3832 0.7664  2 Cd 4.16
Cs 0.1168 0.6168 0.2336  2 Cd 4.16
Cd 0.3187 0.3187 0.6374  8 Cs 4.16-4.24
Cd 0.6813 0.6813 0.3626  8 Cs 4.16-4.24

Summary:
DOS at the Fermi energy, states/eV per atom: 0.995
Crystal system: tetragonal
Total magnetic moment, μB/f.u.: 0.000
Symmetry: No. 139
E_form, eV/atom: 0.014

---

Compound: NaSi2N3
Source: the Alexandria database
Functional: PBE-GGA
Structure: optimized geometry

Cell: 3.0032 5.8741 9.0416 Å, 108.40 99.56 90.00°
Closest atoms and distances in Å follow each position.
Element x y z (fractional)
Si 0.9332 0.9397 0.8664  4 N 1.73-1.83
Si 0.0668 0.0603 0.1336  4 N 1.73-1.83
Si 0.2793 0.6803 0.5586  4 N 1.69-1.87
Si 0.7207 0.3197 0.4414  4 N 1.69-1.87
N 0.6288 0.1154 0.2577  3 Si 1.69-1.83
N 0.0015 0.2248 0.0030  2 Si 1.73
N 0.3712 0.8846 0.7423  3 Si 1.69-1.83
N 0.9985 0.7752 0.9970  2 Si 1.73
N 0.2731 0.3563 0.5463  3 Si 1.75-1.87
N 0.7269 0.6437 0.4537  3 Si 1.75-1.87
Na 0.4259 0.4169 0.8518  1 Na 2.51, 5 N 2.51-2.63
Na 0.5741 0.5831 0.1482  1 Na 2.51, 5 N 2.51-2.63

Summary:
Crystal system: monoclinic
Total magnetic moment, μB/f.u.: 0.000
Symmetry: No. 12
Energy relative to the elements, uncorrected, meV/atom: -756.0

---

Compound: SrSi2Ni5
Source: the Alexandria database
Functional: PBE-GGA
Structure: optimized geometry

Cell: 3.6532 6.0597 6.0597 Å, 66.19 72.46 72.46°
Closest atoms and distances in Å follow each position.
Element x y z (fractional)
Sr 0.0000 0.0000 0.0000  4 Si 3.09, 10 Ni 3.14-3.31
Ni 0.6562 0.5301 0.1575  3 Si 2.31-2.33, 1 Ni 2.47
Ni 0.6562 0.1575 0.5301  3 Si 2.31-2.33, 1 Ni 2.47
Ni 0.3438 0.8425 0.4699  3 Si 2.31-2.33, 1 Ni 2.47
Ni 0.3438 0.4699 0.8425  3 Si 2.31-2.33, 1 Ni 2.47
Ni 0.0000 0.5000 0.5000  2 Si 2.25
Si 0.7625 0.7375 0.7375  7 Ni 2.25-2.33
Si 0.2375 0.2625 0.2625  7 Ni 2.25-2.33

Summary:
DOS at the Fermi energy, states/eV per atom: 0.536
Crystal system: orthorhombic
Total magnetic moment, μB/f.u.: 0.000
Symmetry: No. 71
Energy relative to the elements, uncorrected, meV/atom: -424.6

---

Compound: MoRu3
Source: the Alexandria database
Functional: PBE-GGA
Structure: optimized geometry

Cell: 5.5030 4.3623 4.7786 Å, 90.00 90.00 90.00°
Closest atoms and distances in Å follow each position.
Element x y z (fractional)
Ru 0.2505 0.0000 0.1659  8 Ru 2.70-2.77, 4 Mo 2.70-2.77
Ru 0.0000 0.5000 0.3313  8 Ru 2.70-2.77, 4 Mo 2.70-2.75
Ru 0.7505 0.5000 0.8341  8 Ru 2.70-2.77, 4 Mo 2.70-2.77
Ru 0.7495 0.0000 0.1659  8 Ru 2.70-2.77, 4 Mo 2.70-2.77
Ru 0.5000 0.0000 0.6687  8 Ru 2.70-2.77, 4 Mo 2.70-2.75
Ru 0.2495 0.5000 0.8341  8 Ru 2.70-2.77, 4 Mo 2.70-2.77
Mo 0.5000 0.5000 0.3360  12 Ru 2.70-2.77
Mo 0.0000 0.0000 0.6640  12 Ru 2.70-2.77

Summary:
DOS at the Fermi energy, states/eV per atom: 1.263
Energy relative to the lowest polymorph listed for this composition, eV/atom: 0.011
Crystal system: orthorhombic
Total magnetic moment, μB/f.u.: 0.000
Symmetry: No. 59
E_form, eV/atom: -0.044

---

Question: What is the total magnetic moment in the first record?
Answer: 0.000 μB/f.u.

---

Question: Look up the total magnetic moment of the fourth one.
Answer: 0.000 μB/f.u.

---

Question: Among the records above, which one has the highest total magnetic moment?
Answer: MgTiH3